1.
# KPOsCl2

KPOsCl2 after structural relaxation (PBE, Alexandria).

Cell lengths 5.503, 5.503, 5.903 Å; angles 90.00, 90.00, 90.00 degrees
Sites, in units of the cell vectors:
K (0.000, 0.000, 0.000)
P (0.000, 0.000, 0.500)
Os (0.500, 0.500, 0.500)
Cl (0.000, 0.500, 0.000)
Cl (0.500, 0.000, 0.000)

Calculated values
The offset from the most stable computed form comes out at 1908.3 meV per atom. For the formation energy from raw total energies, the calculation gives 7.99 eV/f.u. Its total energy is -2.69 eV per atom. The crystal system is tetragonal.

***

2.
# BaBe2Rh

BaBe2Rh after structural relaxation (PBE, Alexandria).

Cell lengths 6.116, 6.116, 6.116 Å; angles 38.14, 38.14, 38.14 degrees
Sites, in units of the cell vectors:
Ba (0.000, 0.000, 0.000)
Be (0.181, 0.181, 0.181)
Be (0.819, 0.819, 0.819)
Rh (0.500, 0.500, 0.500)

Calculated values
The offset from the most stable computed form comes out at 5.1 meV per atom. Its total energy is -4.37 eV per atom. Its formation energy is -0.74 eV per formula unit. The crystal system is trigonal.

***

3.
# PmCu4Ir

PmCu4Ir after structural relaxation (PBE, Alexandria).

Cell lengths 5.024, 5.024, 5.024 Å; angles 60.00, 60.00, 60.00 degrees
Sites, in units of the cell vectors:
Pm (0.000, 0.000, 0.000)
Cu (0.129, 0.624, 0.624)
Cu (0.624, 0.129, 0.624)
Cu (0.624, 0.624, 0.129)
Cu (0.624, 0.624, 0.624)
Ir (0.250, 0.250, 0.250)

Calculated values
Its total energy is -5.16 eV per atom. Its formation energy is -0.98 eV per formula unit. The crystal system is cubic.

***

4.
# Na2Nb2VS6

Na2Nb2VS6 after structural relaxation (PBE, Alexandria).

Cell lengths 6.024, 6.024, 7.247 Å; angles 97.12, 97.12, 120.46 degrees
Sites, in units of the cell vectors:
Na (0.177, 0.823, 0.000)
Na (0.823, 0.177, 0.000)
Nb (0.359, 0.641, 0.500)
Nb (0.641, 0.359, 0.500)
V (0.000, 0.000, 0.500)
S (0.057, 0.390, 0.701)
S (0.246, 0.246, 0.271)
S (0.390, 0.057, 0.701)
S (0.610, 0.943, 0.299)
S (0.754, 0.754, 0.729)
S (0.943, 0.610, 0.299)

Calculated values
For the formation energy from raw total energies, the calculation gives -11.87 eV/f.u. Its total energy is -6.23 eV per atom. The crystal system is monoclinic.

***

5.
# RbAc3Sm2Te6

RbAc3Sm2Te6 after structural relaxation (PBE, Alexandria).

Cell lengths 10.445, 10.445, 9.460 Å; angles 102.43, 102.43, 25.72 degrees
Sites, in units of the cell vectors:
Rb (0.000, 0.000, 0.000)
Ac (0.000, 0.000, 0.500)
Ac (0.340, 0.340, 0.174)
Ac (0.660, 0.660, 0.826)
Sm (0.329, 0.329, 0.651)
Sm (0.671, 0.671, 0.349)
Te (0.169, 0.169, 0.577)
Te (0.173, 0.173, 0.101)
Te (0.490, 0.490, 0.738)
Te (0.510, 0.510, 0.262)
Te (0.827, 0.827, 0.899)
Te (0.831, 0.831, 0.423)

Calculated values
For the formation energy from raw total energies, the calculation gives -16.80 eV/f.u. Its total energy is -4.87 eV per atom. The crystal system is monoclinic.

***

6.
# TbZr2In

TbZr2In after structural relaxation (PBE, Alexandria).

Cell lengths 11.190, 11.190, 4.042 Å; angles 90.00, 90.00, 155.77 degrees
Sites, in units of the cell vectors:
Tb (0.194, 0.806, 0.750)
Tb (0.806, 0.194, 0.250)
Zr (0.053, 0.947, 0.250)
Zr (0.449, 0.551, 0.250)
Zr (0.551, 0.449, 0.750)
Zr (0.947, 0.053, 0.750)
In (0.341, 0.659, 0.750)
In (0.659, 0.341, 0.250)

Calculated values
The offset from the most stable computed form comes out at 0.0 meV per atom. Its total energy is -6.33 eV per atom. Its formation energy is -0.85 eV per formula unit. The crystal system is orthorhombic.